# 1
Computed, not measured: an optimized crystal structure of Er3Pt at the PBE-GGA level of DFT.

Structure (POSCAR):
```
Er3Pt
1.0
-3.578 -0.514 0.379
0.550 -4.945 -1.519
2.282 1.218 5.769
Er Pt
3 1
Direct
0.300 0.717 0.600
0.500 0.417 0.000
0.700 0.117 0.400
0.000 0.917 0.000
```

Total energy = -5.59 eV per atom
Calculated formation energy = -0.6538 eV per atom
V = 25.8 Å³/atom
SG = Immm
Spin magnetization = 0.0000 μB/atom
Crystal system = orthorhombic


# 2
Computed, not measured: an optimized crystal structure of ErPt4 at the PBE-GGA level of DFT.

Structure (POSCAR):
```
ErPt4
1.0
4.103 0.000 -1.199
-0.643 5.285 -2.200
0.072 0.146 7.872
Pt Er
8 2
Direct
0.694 0.681 0.388
0.306 0.792 0.612
0.694 0.208 0.388
0.500 0.000 0.000
0.895 0.645 0.789
0.306 0.319 0.612
0.500 0.500 0.000
0.105 0.355 0.211
0.893 0.143 0.787
0.107 0.857 0.213
```

Total energy = -6.57 eV per atom
Calculated formation energy = -0.8239 eV per atom
V = 17.3 Å³/atom
Excess energy over the best structure of this formula in the dataset = 0 meV/atom
SG = Imma
Spin magnetization = 0.0000 μB/atom
Crystal system = orthorhombic


# 3
Computed, not measured: an optimized crystal structure of Er3Pt at the PBE-GGA level of DFT.

Structure (POSCAR):
```
Er3Pt
1.0
-0.953 2.886 1.944
0.619 -1.811 2.992
8.576 2.861 -0.042
Er Pt
3 1
Direct
0.500 0.000 0.747
0.500 0.500 0.127
0.000 0.500 0.471
0.000 0.000 0.989
```

Total energy = -5.36 eV per atom
Calculated formation energy = -0.4261 eV per atom
V = 29.0 Å³/atom
SG = Pmm2
Spin magnetization = 0.0689 μB/atom
Crystal system = orthorhombic


# 4
Computed, not measured: an optimized crystal structure of Er4Pt at the PBE-GGA level of DFT.

Structure (POSCAR):
```
Er4Pt
1.0
-4.867 -0.584 2.317
0.491 -5.390 -0.327
2.339 -0.083 4.891
Er Pt
4 1
Direct
0.000 0.000 0.000
0.000 0.500 0.500
0.500 0.000 0.500
0.500 0.500 0.000
0.500 0.500 0.500
```

Total energy = -5.19 eV per atom
Calculated formation energy = -0.3275 eV per atom
V = 31.9 Å³/atom
Excess energy over the best structure of this formula in the dataset = 164 meV/atom
SG = Pm-3m
Spin magnetization = 0.0000 μB/atom
Crystal system = cubic


# 5
Computed, not measured: an optimized crystal structure of Er4Pt at the PBE-GGA level of DFT.

Structure (POSCAR):
```
Er4Pt
1.0
-4.753 4.820 2.559
-2.665 -5.120 -4.365
2.669 -3.460 5.772
Pt Er
2 8
Direct
0.580 0.080 0.500
0.330 0.330 0.000
0.790 0.028 0.842
0.633 0.474 0.762
0.120 0.462 0.738
0.712 0.870 0.238
0.199 0.937 0.658
0.278 0.540 0.342
0.724 0.383 0.262
0.187 0.949 0.158
```

Total energy = -5.35 eV per atom
Calculated formation energy = -0.4911 eV per atom
V = 28.9 Å³/atom
Excess energy over the best structure of this formula in the dataset = 0 meV/atom
SG = I-42d
Spin magnetization = 0.0006 μB/atom
Crystal system = tetragonal


# 6
Computed, not measured: an optimized crystal structure of Er2Pt17 at the PBE-GGA level of DFT.

Structure (POSCAR):
```
Er2Pt17
1.0
-3.963 2.324 5.239
-2.098 -6.252 2.249
4.798 -0.702 5.004
Er Pt
2 17
Direct
0.336 0.336 0.336
0.664 0.664 0.664
0.681 0.000 0.319
0.343 0.343 0.832
0.000 0.500 0.000
0.116 0.116 0.116
0.657 0.168 0.657
0.657 0.657 0.168
0.319 0.000 0.681
0.500 0.000 0.000
0.319 0.681 0.000
0.681 0.319 0.000
0.832 0.343 0.343
0.884 0.884 0.884
0.000 0.000 0.500
0.168 0.657 0.657
0.000 0.319 0.681
0.000 0.681 0.319
0.343 0.832 0.343
```

Total energy = -6.27 eV per atom
Calculated formation energy = -0.3850 eV per atom
V = 17.5 Å³/atom
SG = R-3m
Spin magnetization = 0.0000 μB/atom
Crystal system = trigonal